Entry from Alexandria: a crystal of LaY2Tl relaxed with PBEsol (SCAN).

Its total DFT energy (no corrections) is -42.993 eV/atom. The space-group type is No. 166. For the formation energy, the calculation gives -206 meV per atom. The energy above the most stable polymorph in this dataset comes out at 119.8 meV per atom.

```
LaY2Tl
1.0
1.790 1.033 10.722
-1.790 1.033 10.722
0.000 -2.067 10.722
La Y Tl
1 2 1
Cartesian
0.000 0.000 0.000
0.000 0.000 7.839
0.000 0.000 24.326
0.000 0.000 16.082
```

Entry from Alexandria: a crystal of BeP2Pt relaxed with PBEsol (SCAN).

Its total DFT energy (no corrections) is -23.508 eV/atom. The space-group type is No. 47. For the formation energy, the calculation gives 328 meV per atom.

```
BeP2Pt
1.0
3.164 0.000 0.000
0.000 3.631 0.000
0.000 0.000 4.615
Be P Pt
1 2 1
Cartesian
0.000 0.000 0.000
0.000 1.816 2.307
1.582 0.000 2.307
1.582 1.816 0.000
```

Entry from Alexandria: a crystal of TaNi2Ru relaxed with PBEsol (SCAN).

Its total DFT energy (no corrections) is -33.773 eV/atom. The space-group type is No. 123. For the formation energy, the calculation gives -334 meV per atom. The energy above the most stable polymorph in this dataset comes out at 0.0 meV per atom.

```
TaNi2Ru
1.0
3.673 0.000 0.000
0.000 3.673 0.000
0.000 0.000 3.769
Ta Ni Ru
1 2 1
Cartesian
0.000 0.000 0.000
0.000 1.837 1.885
1.837 0.000 1.885
1.837 1.837 0.000
```

Entry from Alexandria: a crystal of Zr2AlAu relaxed with PBEsol (SCAN).

Its total DFT energy (no corrections) is -35.186 eV/atom. The space-group type is No. 123. For the formation energy, the calculation gives -609 meV per atom.

```
Zr2AlAu
1.0
3.030 0.000 0.000
0.000 3.030 0.000
0.000 0.000 8.146
Zr Al Au
2 1 1
Cartesian
0.000 0.000 2.031
0.000 0.000 6.115
1.515 1.515 0.000
1.515 1.515 4.073
```

Entry from Alexandria: a crystal of AsIr2Au relaxed with PBEsol (SCAN).

Its total DFT energy (no corrections) is -57.563 eV/atom. The space-group type is No. 25. For the formation energy, the calculation gives 323 meV per atom.

```
AsIr2Au
1.0
2.879 0.000 0.000
0.000 4.550 0.000
0.000 0.000 4.788
As Ir Au
1 2 1
Cartesian
0.000 0.000 0.000
0.000 2.275 1.436
1.440 0.000 1.996
1.440 2.275 3.751
```

Entry from Alexandria: a crystal of CaAl2O relaxed with PBEsol (SCAN).

Its total DFT energy (no corrections) is -8.627 eV/atom. The space-group type is No. 122. As for the uncorrected formation energy: -777 meV/atom.

```
CaAl2O
1.0
-3.056 3.056 4.258
3.056 -3.056 4.258
3.056 3.056 -4.258
Ca Al O
2 4 2
Cartesian
0.000 0.000 0.000
0.000 3.056 2.129
1.528 2.625 -1.064
3.487 1.528 1.064
1.528 0.431 3.193
-0.431 1.528 5.322
3.056 0.000 2.129
0.000 0.000 4.258
```

Entry from Alexandria: a crystal of Ca2ZnPb relaxed with PBEsol (SCAN).

Its total DFT energy (no corrections) is -27.742 eV/atom. The space-group type is No. 225. For the formation energy, the calculation gives -586 meV per atom.

```
Ca2ZnPb
1.0
0.000 3.744 3.744
3.744 0.000 3.744
3.744 3.744 0.000
Ca Zn Pb
2 1 1
Cartesian
1.872 1.872 1.872
5.616 5.616 5.616
0.000 0.000 0.000
3.744 3.744 3.744
```

Entry from Alexandria: a crystal of Mg2ZnOs relaxed with PBEsol (SCAN).

Its total DFT energy (no corrections) is -23.694 eV/atom. The space-group type is No. 166. For the formation energy, the calculation gives 141 meV per atom.

```
Mg2ZnOs
1.0
1.429 0.825 9.072
-1.429 0.825 9.072
0.000 -1.650 9.072
Mg Zn Os
2 1 1
Cartesian
0.000 0.000 6.719
0.000 0.000 20.498
0.000 0.000 0.000
0.000 0.000 13.609
```

Entry from Alexandria: a crystal of SrGeW3 relaxed with PBEsol (SCAN).

Its total DFT energy (no corrections) is -48.359 eV/atom. The space-group type is No. 221. For the formation energy, the calculation gives 1726 meV per atom.

```
SrGeW3
1.0
4.729 0.000 0.000
0.000 4.729 0.000
0.000 0.000 4.729
Sr Ge W
1 1 3
Cartesian
0.000 0.000 0.000
2.365 2.365 2.365
0.000 2.365 2.365
2.365 0.000 2.365
2.365 2.365 0.000
```

Entry from Alexandria: a crystal of NaNbSn3 relaxed with PBEsol (SCAN).

Its total DFT energy (no corrections) is -28.969 eV/atom. The space-group type is No. 221. For the formation energy, the calculation gives 53 meV per atom.

```
NaNbSn3
1.0
5.351 0.000 0.000
0.000 5.351 0.000
0.000 0.000 5.351
Na Nb Sn
1 1 3
Cartesian
0.000 0.000 0.000
2.675 2.675 2.675
0.000 2.675 2.675
2.675 0.000 2.675
2.675 2.675 0.000
```

Entry from Alexandria: a crystal of W2Se relaxed with PBEsol (SCAN).

Its total DFT energy (no corrections) is -52.409 eV/atom. The space-group type is No. 63. As for the uncorrected formation energy: 743 meV/atom.

```
W2Se
1.0
1.503 -7.115 0.000
1.503 7.115 0.000
0.000 0.000 4.480
W Se
4 2
Cartesian
1.503 6.468 3.360
1.503 2.999 1.120
1.503 -2.999 3.360
1.503 -6.468 1.120
1.503 1.756 3.360
1.503 -1.756 1.120
```

Entry from Alexandria: a crystal of La2OsRh relaxed with PBEsol (SCAN).

Its total DFT energy (no corrections) is -47.951 eV/atom. The space-group type is No. 166. For the formation energy, the calculation gives 14 meV per atom.

```
La2OsRh
1.0
2.029 1.172 6.544
-2.029 1.172 6.544
0.000 -2.343 6.544
La Os Rh
2 1 1
Cartesian
0.000 0.000 4.887
0.000 0.000 14.746
0.000 0.000 9.816
0.000 0.000 0.000
```

Entry from Alexandria: a crystal of CsIn3 relaxed with PBEsol (SCAN).

Its total DFT energy (no corrections) is -34.787 eV/atom. The space-group type is No. 119. For the formation energy, the calculation gives -295 meV per atom.

```
CsIn3
1.0
-3.509 3.509 8.350
3.509 -3.509 8.350
3.509 3.509 -8.350
Cs In
3 9
Cartesian
0.000 0.000 0.000
3.509 0.000 2.113
3.509 0.000 6.237
3.509 2.058 -4.677
3.509 1.388 -1.810
0.000 1.451 3.672
0.000 0.000 8.350
1.388 3.509 1.810
2.120 0.000 10.159
0.000 2.120 6.540
2.058 3.509 4.677
1.451 0.000 13.027
```

Entry from Alexandria: a crystal of FeCoIr2 relaxed with PBEsol (SCAN).

Its total DFT energy (no corrections) is -44.452 eV/atom. The space-group type is No. 139. For the formation energy, the calculation gives -44 meV per atom.

```
FeCoIr2
1.0
-1.863 1.863 3.538
1.863 -1.863 3.538
1.863 1.863 -3.538
Fe Co Ir
1 1 2
Cartesian
0.000 0.000 0.000
0.000 0.000 3.538
1.863 0.000 1.769
0.000 1.863 1.769
```

Entry from Alexandria: a crystal of Sb2As relaxed with PBEsol (SCAN).

Its total DFT energy (no corrections) is -31.508 eV/atom. The space-group type is No. 12. As for the uncorrected formation energy: 63 meV/atom. The energy above the most stable polymorph in this dataset comes out at 6.3 meV per atom.

```
Sb2As
1.0
6.278 -2.065 0.000
6.278 2.065 0.000
-0.015 0.000 5.942
Sb As
4 2
Cartesian
0.082 0.000 1.466
4.119 0.000 1.560
8.421 0.000 4.382
12.458 0.000 4.476
4.159 0.000 4.384
8.381 0.000 1.558
```

Entry from Alexandria: a crystal of ScBTeI2 relaxed with PBEsol (SCAN).

Its total DFT energy (no corrections) is -26.081 eV/atom. The space-group type is No. 123. As for the uncorrected formation energy: 399 meV/atom.

```
ScBTeI2
1.0
5.549 0.000 0.000
0.000 5.549 0.000
0.000 0.000 5.624
Sc B Te I
1 1 1 2
Cartesian
0.000 0.000 0.000
2.775 2.775 2.812
0.000 0.000 2.812
0.000 2.775 0.000
2.775 0.000 0.000
```

Entry from Alexandria: a crystal of MgCr2Tc relaxed with PBEsol (SCAN).

Its total DFT energy (no corrections) is -19.101 eV/atom. The space-group type is No. 99. For the formation energy, the calculation gives 100 meV per atom.

```
MgCr2Tc
1.0
2.931 0.000 0.000
0.000 2.931 0.000
0.000 0.000 6.506
Mg Cr Tc
1 2 1
Cartesian
0.000 0.000 0.000
0.000 0.000 3.283
1.465 1.465 4.608
1.465 1.465 1.866
```

Entry from Alexandria: a crystal of Ba2Y2Mn4O11 relaxed with PBEsol (SCAN).

Its total DFT energy (no corrections) is -17.400 eV/atom. The space-group type is No. 65. As for the uncorrected formation energy: -2855 meV/atom.

```
Ba2Y2Mn4O11
1.0
3.959 -7.573 0.000
3.959 7.573 0.000
0.000 0.000 3.812
Ba Y Mn O
2 2 4 11
Cartesian
1.980 3.787 0.000
1.980 -3.787 0.000
1.800 0.000 0.000
6.118 0.000 0.000
3.959 5.702 1.906
3.959 1.739 1.906
3.959 -1.739 1.906
3.959 -5.702 1.906
0.000 0.000 1.906
3.959 5.874 0.000
2.066 1.536 1.906
3.959 3.795 1.906
2.066 -1.536 1.906
3.959 1.359 0.000
3.959 -1.359 0.000
5.853 1.536 1.906
3.959 -3.795 1.906
5.853 -1.536 1.906
3.959 -5.874 0.000
```

Entry from Alexandria: a crystal of Al2O3 relaxed with PBEsol (SCAN).

Its total DFT energy (no corrections) is -10.120 eV/atom. The space-group type is No. 163. As for the uncorrected formation energy: -3280 meV/atom.

```
Al2O3
1.0
4.811 0.000 0.000
-2.405 4.166 0.000
0.000 0.000 9.003
Al O
8 12
Cartesian
0.000 0.000 0.000
0.000 0.000 4.502
0.000 2.778 0.337
0.000 2.778 4.164
0.000 2.778 6.752
2.405 1.389 2.251
2.405 1.389 4.839
2.405 1.389 8.666
-0.699 1.479 5.512
-1.474 2.821 7.993
0.699 1.479 7.993
-0.775 4.032 5.512
1.631 0.134 1.010
0.931 1.345 3.491
1.474 2.821 5.512
0.775 4.032 7.993
3.180 0.134 3.491
1.706 2.687 1.010
3.880 1.345 1.010
3.105 2.687 3.491
```

Entry from Alexandria: a crystal of Os2RuRh relaxed with PBEsol (SCAN).

Its total DFT energy (no corrections) is -52.973 eV/atom. The space-group type is No. 65. For the formation energy, the calculation gives 117 meV per atom. The energy above the most stable polymorph in this dataset comes out at 21.4 meV per atom.

```
Os2RuRh
1.0
2.677 -3.818 0.000
2.677 3.818 0.000
0.000 0.000 2.672
Os Ru Rh
2 1 1
Cartesian
1.338 1.909 0.000
1.338 -1.909 0.000
0.000 0.000 1.336
2.677 0.000 1.336
```

Entry from Alexandria: a crystal of Zn2FeOs relaxed with PBEsol (SCAN).

Its total DFT energy (no corrections) is -29.166 eV/atom. The space-group type is No. 99. For the formation energy, the calculation gives 94 meV per atom. The energy above the most stable polymorph in this dataset comes out at 0.0 meV per atom.

```
Zn2FeOs
1.0
2.672 0.000 0.000
0.000 2.672 0.000
0.000 0.000 7.158
Zn Fe Os
2 1 1
Cartesian
0.000 0.000 0.000
1.336 1.336 1.951
0.000 0.000 3.673
1.336 1.336 5.218
```

Entry from Alexandria: a crystal of LiMg2Al relaxed with PBEsol (SCAN).

Its total DFT energy (no corrections) is -5.042 eV/atom. The space-group type is No. 123. For the formation energy, the calculation gives -20 meV per atom.

```
LiMg2Al
1.0
3.435 0.000 0.000
0.000 3.435 0.000
0.000 0.000 6.468
Li Mg Al
1 2 1
Cartesian
0.000 0.000 0.000
1.717 1.717 1.608
1.717 1.717 4.860
0.000 0.000 3.234
```

Entry from Alexandria: a crystal of Sr2LiMn relaxed with PBEsol (SCAN).

Its total DFT energy (no corrections) is -16.131 eV/atom. The space-group type is No. 99. For the formation energy, the calculation gives 168 meV per atom.

```
Sr2LiMn
1.0
3.834 0.000 0.000
0.000 3.834 0.000
0.000 0.000 8.623
Sr Li Mn
2 1 1
Cartesian
0.000 0.000 0.000
1.917 1.917 3.227
0.000 0.000 5.468
1.917 1.917 6.562
```

Entry from Alexandria: a crystal of PtAuBr2 relaxed with PBEsol (SCAN).

Its total DFT energy (no corrections) is -44.148 eV/atom. The space-group type is No. 166. As for the uncorrected formation energy: 419 meV/atom. The energy above the most stable polymorph in this dataset comes out at 456.5 meV per atom.

```
PtAuBr2
1.0
1.471 0.849 11.003
-1.471 0.849 11.003
0.000 -1.698 11.003
Pt Au Br
1 1 2
Cartesian
0.000 0.000 0.000
0.000 0.000 16.504
0.000 0.000 2.386
0.000 0.000 30.622
```

Entry from Alexandria: a crystal of YMo2O7F relaxed with PBEsol (SCAN).

Its total DFT energy (no corrections) is -15.888 eV/atom. The space-group type is No. 13. As for the uncorrected formation energy: -2727 meV/atom.

```
YMo2O7F
1.0
4.243 0.000 0.000
0.000 6.543 0.000
-0.084 0.000 11.347
Y Mo O F
2 4 14 2
Cartesian
-0.021 1.326 2.837
-0.063 5.216 8.510
0.368 2.167 6.741
0.410 4.375 1.068
3.749 2.167 10.279
3.791 4.375 4.605
4.235 2.288 0.746
-0.034 2.288 4.927
-0.063 2.876 8.510
-0.021 3.667 2.837
4.194 4.255 6.419
-0.076 4.255 10.601
0.028 0.511 7.133
0.070 6.031 1.460
2.071 2.248 6.773
2.047 2.248 10.247
2.113 4.295 1.099
2.088 4.295 4.574
4.089 0.511 9.887
4.131 6.031 4.214
2.100 1.305 2.837
2.059 5.237 8.510
```

Entry from Alexandria: a crystal of LiZrTi2Be relaxed with PBEsol (SCAN).

Its total DFT energy (no corrections) is -13.275 eV/atom. The space-group type is No. 123. For the formation energy, the calculation gives 625 meV per atom.

```
LiZrTi2Be
1.0
4.409 0.000 0.000
0.000 4.409 0.000
0.000 0.000 4.064
Li Zr Ti Be
1 1 2 1
Cartesian
0.000 0.000 0.000
2.204 2.204 2.032
0.000 2.204 0.000
2.204 0.000 0.000
0.000 0.000 2.032
```

Entry from Alexandria: a crystal of BeOsRu relaxed with PBEsol (SCAN).

Its total DFT energy (no corrections) is -36.722 eV/atom. The space-group type is No. 216. For the formation energy, the calculation gives 298 meV per atom.

```
BeOsRu
1.0
0.000 2.791 2.791
2.791 0.000 2.791
2.791 2.791 0.000
Be Os Ru
1 1 1
Cartesian
0.000 0.000 0.000
1.395 1.395 1.395
2.791 2.791 2.791
```